The following is a PBE-GGA calculation of an optimized crystal structure of CaCdPd, from the Alexandria database.

Calculated values
- total DFT energy (no corrections) (eV/atom) = -3.313
- DOS(E_F) (states/eV/cell) = 5.1

Geometry as POSCAR:
```
CaCdPd
1.0
-3.924 -1.274 1.352
3.083 -5.477 3.788
0.696 5.145 6.874
Cd Ca Pd
4 4 4
Cartesian
0.356 -0.828 10.713
1.304 -1.580 5.782
-1.448 -0.027 6.230
-0.500 -0.779 1.300
-0.401 2.983 5.137
1.240 0.976 8.007
0.256 -4.590 6.876
-1.385 -2.583 4.005
1.448 -3.812 4.098
-1.593 2.205 7.915
0.075 0.173 3.869
-0.220 -1.780 8.144
```